# PBE with a Hubbard U MgMn3O, relaxed
# total magnetization	13.30	μB per cell
# density of states at the Fermi level	2.1	states/eV/f.u.
# E above lowest polymorph	0.0000	eV per atom
# V	17.24	Å³/atom
# uncorrected energy	-29.74	eV/cell
data_MgMn3O
_chemical_formula_sum 'Mg1 Mn3 O1'
_space_group_name_H-M_alt 'P m -3 m'
_space_group_IT_number 221
_space_group_name_Hall '-P 4 2 3'
_cell_length_a 4.418
_cell_length_b 4.418
_cell_length_c 4.418
_cell_angle_alpha 90.00
_cell_angle_beta 90.00
_cell_angle_gamma 90.00
loop_
_atom_site_label
_atom_site_type_symbol
_atom_site_fract_x
_atom_site_fract_y
_atom_site_fract_z
Mg1 Mg 0.000 0.000 0.000
Mn1 Mn 0.000 0.500 0.500
O1 O 0.500 0.500 0.500